10
Lattice="8.5550 -1.8254 0.0000 8.5550 1.8254 0.0000 -1.0545 0.0000 8.6030" Properties=species:S:1:pos:R:3 comment="SmTm5Ga4, relaxed, DFT PBE-GGA" final_energy_ev_per_cell=-41.92 magmom_total_mub_per_fu=0.000 rho_g_cm3=7.9 n_ef_per_ev_cell=9.070 pbc="T T T"
Sm 0.0000 0.0000 0.0000
Tm -0.5273 0.0000 4.3015
Tm 4.6262 0.0000 5.6474
Tm 5.7533 0.0000 1.9638
Tm 10.3022 0.0000 6.6392
Tm 11.4293 0.0000 2.9556
Ga 3.1567 0.0000 0.4628
Ga 7.3724 0.0000 6.3344
Ga 8.6831 0.0000 2.2687
Ga 12.8989 0.0000 8.1402